# MnRe3Pt

A relaxed MnRe3Pt crystal (PBE, the Alexandria database).

Output
- total energy (eV/cell) = -45.5
- ΔE to the lowest computed polymorph (meV/atom) = 0.0

Structure (POSCAR):
```
MnRe3Pt
1.0
-1.249 3.202 -2.717
-4.199 -1.006 0.745
-0.080 2.816 3.355
Re Mn Pt
3 1 1
Direct
0.000 0.500 0.000
0.000 0.000 0.500
0.500 0.000 0.000
0.000 0.000 0.000
0.500 0.500 0.500
```